# YHoC

Crystalline YHoC at its relaxed geometry (PBE, Alexandria).

E_form ... -273.3 meV per atom
DFT total energy ... -7.03 eV/atom

Cell and atoms, written as extended XYZ:
```
3
Lattice="-3.541 0.506 0.061 1.329 -3.277 -0.538 -0.040 -1.025 6.143" Properties=species:S:1:pos:R:3 pbc="T T T"
Y -0.005 -0.118 0.708
C -1.931 -1.100 1.929
Ho -0.316 -2.578 3.029
```